No. 1
# BaZr2Pt

An optimized crystal structure of BaZr2Pt (PBE-GGA, Alexandria via LeMat-Bulk).

Cell: 6.030 6.030 3.108 Å, 90.00 90.00 121.48°
Fractional coordinates of all 4 atoms:
1 Ba 0.000 0.000 0.000
2 Zr 0.000 0.500 0.500
3 Zr 0.500 0.000 0.500
4 Pt 0.500 0.500 0.000

**Formation energy**: 0.358 eV/atom

No. 2
# Zr2CrOs

An optimized crystal structure of Zr2CrOs (PBE-GGA, Alexandria via LeMat-Bulk).

Cell: 3.145 4.295 5.481 Å, 90.00 90.00 90.00°
Fractional coordinates of all 4 atoms:
1 Zr 0.000 0.000 0.000
2 Zr 0.500 0.500 0.335
3 Cr 0.000 0.000 0.520
4 Os 0.500 0.500 0.827

**Formation energy**: 0.177 eV/atom

No. 3
# NaP2OsO

An optimized crystal structure of NaP2OsO (PBE-GGA, Alexandria via LeMat-Bulk).

Cell: 4.623 4.623 4.879 Å, 90.00 90.00 90.00°
Fractional coordinates of all 5 atoms:
1 Na 0.000 0.000 0.000
2 P 0.000 0.500 0.000
3 P 0.500 0.000 0.000
4 Os 0.000 0.000 0.500
5 O 0.500 0.500 0.500

**ΔE_f (raw)**: 258.48 kJ/mol of atoms

No. 4
# La2HoSn

An optimized crystal structure of La2HoSn (PBE-GGA, Alexandria via LeMat-Bulk).

Cell: 6.985 6.985 6.985 Å, 121.44 99.91 107.83°
Fractional coordinates of all 8 atoms:
1 La 0.297 0.000 0.797
2 La 0.297 0.500 0.297
3 La 0.703 0.000 0.203
4 La 0.703 0.500 0.703
5 Ho 0.182 0.432 0.750
6 Ho 0.818 0.568 0.250
7 Sn 0.202 0.952 0.250
8 Sn 0.798 0.048 0.750

**Formation energy**: -0.434 eV/atom

No. 5
# PaMnCrGe3

An optimized crystal structure of PaMnCrGe3 (PBE-GGA, Alexandria via LeMat-Bulk).

Cell: 6.201 6.201 5.847 Å, 90.00 90.00 104.58°
Fractional coordinates of all 12 atoms:
1 Pa 0.246 0.754 0.750
2 Pa 0.754 0.246 0.250
3 Mn 0.004 0.996 0.250
4 Mn 0.996 0.004 0.750
5 Cr 0.474 0.526 0.250
6 Cr 0.526 0.474 0.750
7 Ge 0.240 0.760 0.250
8 Ge 0.249 0.249 0.000
9 Ge 0.249 0.249 0.500
10 Ge 0.751 0.751 0.000
11 Ge 0.751 0.751 0.500
12 Ge 0.760 0.240 0.750

**Formation energy**: 0.046 eV/atom

No. 6
# Co2NiSnAu

An optimized crystal structure of Co2NiSnAu (PBE-GGA, Alexandria via LeMat-Bulk).

Cell: 4.684 4.684 4.727 Å, 90.00 90.00 90.00°
Fractional coordinates of all 5 atoms:
1 Co 0.000 0.500 0.000
2 Co 0.500 0.000 0.000
3 Ni 0.000 0.000 0.500
4 Sn 0.500 0.500 0.500
5 Au 0.000 0.000 0.000

**Formation energy**: 1.154 eV/atom

No. 7
# Pr2SmErIn2

An optimized crystal structure of Pr2SmErIn2 (PBE-GGA, Alexandria via LeMat-Bulk).

Cell: 5.280 10.110 6.878 Å, 90.00 90.00 90.00°
Fractional coordinates of all 12 atoms:
1 Pr 0.000 0.042 0.000
2 Pr 0.000 0.958 0.500
3 Pr 0.500 0.181 0.278
4 Pr 0.500 0.819 0.778
5 Sm 0.500 0.460 0.924
6 Sm 0.500 0.540 0.424
7 Er 0.000 0.320 0.647
8 Er 0.000 0.680 0.147
9 In 0.000 0.368 0.177
10 In 0.000 0.632 0.677
11 In 0.500 0.152 0.750
12 In 0.500 0.848 0.250

**Formation energy**: -0.346 eV/atom

No. 8
# CaScTl

An optimized crystal structure of CaScTl (PBE-GGA, Alexandria via LeMat-Bulk).

Cell: 5.344 3.731 8.635 Å, 90.00 106.89 90.00°
Fractional coordinates of all 6 atoms:
1 Ca 0.000 0.000 0.000
2 Ca 0.347 0.000 0.669
3 Sc 0.639 0.000 0.305
4 Sc 0.822 0.500 0.618
5 Tl 0.159 0.500 0.352
6 Tl 0.491 0.500 0.980

**Formation energy**: -0.145 eV/atom

No. 9
# HfTa3Cu

An optimized crystal structure of HfTa3Cu (PBE-GGA, Alexandria via LeMat-Bulk).

Cell: 4.680 4.680 4.680 Å, 90.00 90.00 90.00°
Fractional coordinates of all 5 atoms:
1 Hf 0.000 0.000 0.000
2 Ta 0.000 0.500 0.500
3 Ta 0.500 0.000 0.500
4 Ta 0.500 0.500 0.000
5 Cu 0.500 0.500 0.500

**Formation energy**: 1.030 eV/atom

No. 10
# Zr6IrAu

An optimized crystal structure of Zr6IrAu (PBE-GGA, Alexandria via LeMat-Bulk).

Cell: 8.173 8.173 8.173 Å, 146.22 146.22 48.51°
Fractional coordinates of all 8 atoms:
1 Zr 0.113 0.613 0.500
2 Zr 0.248 0.248 0.000
3 Zr 0.387 0.887 0.500
4 Zr 0.613 0.113 0.500
5 Zr 0.752 0.752 0.000
6 Zr 0.887 0.387 0.500
7 Ir 0.000 0.000 0.000
8 Au 0.500 0.500 0.000

**Formation energy**: -0.362 eV/atom

No. 11
# TaMoW

An optimized crystal structure of TaMoW (PBE-GGA, Alexandria via LeMat-Bulk).

Cell: 7.179 6.993 2.790 Å, 82.41 74.92 22.66°
Fractional coordinates of all 3 atoms:
1 Ta 0.000 0.000 0.000
2 Mo 0.331 0.331 0.669
3 W 0.670 0.670 0.330

**Formation energy**: -0.098 eV/atom

No. 12
# Tm3BeCo3

An optimized crystal structure of Tm3BeCo3 (PBE-GGA, Alexandria via LeMat-Bulk).

Cell: 5.384 5.384 13.107 Å, 109.61 109.61 42.92°
Fractional coordinates of all 14 atoms:
1 Tm 0.032 0.032 0.385
2 Tm 0.107 0.107 0.922
3 Tm 0.251 0.251 0.233
4 Tm 0.749 0.749 0.767
5 Tm 0.893 0.893 0.078
6 Tm 0.968 0.968 0.615
7 Be 0.256 0.256 0.601
8 Be 0.744 0.744 0.399
9 Co 0.340 0.340 0.465
10 Co 0.400 0.400 0.919
11 Co 0.449 0.449 0.762
12 Co 0.551 0.551 0.238
13 Co 0.600 0.600 0.081
14 Co 0.660 0.660 0.535

**Formation energy**: -0.238 eV/atom

No. 13
# TbDy2Te

An optimized crystal structure of TbDy2Te (PBE-GGA, Alexandria via LeMat-Bulk).

Cell: 10.971 10.971 10.971 Å, 19.99 19.99 19.99°
Fractional coordinates of all 4 atoms:
1 Tb 0.000 0.000 0.000
2 Dy 0.102 0.102 0.102
3 Dy 0.898 0.898 0.898
4 Te 0.500 0.500 0.500

**ΔE_f (raw)**: -19.91 kJ/mol of atoms

No. 14
# Ba5NaSr

An optimized crystal structure of Ba5NaSr (PBE-GGA, Alexandria via LeMat-Bulk).

Cell: 8.296 8.296 15.646 Å, 106.44 106.44 57.16°
Fractional coordinates of all 14 atoms:
1 Ba 0.223 0.241 0.692
2 Ba 0.241 0.223 0.192
3 Ba 0.243 0.757 0.750
4 Ba 0.330 0.343 0.968
5 Ba 0.343 0.330 0.468
6 Ba 0.657 0.670 0.532
7 Ba 0.670 0.657 0.032
8 Ba 0.757 0.243 0.250
9 Ba 0.759 0.777 0.808
10 Ba 0.777 0.759 0.308
11 Na 0.000 0.000 0.000
12 Na 0.000 0.000 0.500
13 Sr 0.257 0.743 0.250
14 Sr 0.743 0.257 0.750

**Formation energy**: 0.104 eV/atom

No. 15
# LiCdGa

An optimized crystal structure of LiCdGa (PBE-GGA, Alexandria via LeMat-Bulk).

Cell: 3.133 4.165 4.921 Å, 113.96 106.02 93.92°
Fractional coordinates of all 3 atoms:
1 Li 0.000 0.000 0.000
2 Cd 0.665 0.668 0.335
3 Ga 0.336 0.334 0.670

**Formation energy**: -0.182 eV/atom

No. 16
# VCuRh3

An optimized crystal structure of VCuRh3 (PBE-GGA, Alexandria via LeMat-Bulk).

Cell: 4.446 4.446 4.446 Å, 90.00 90.00 90.00°
Fractional coordinates of all 5 atoms:
1 V 0.000 0.000 0.000
2 Cu 0.500 0.500 0.500
3 Rh 0.000 0.500 0.500
4 Rh 0.500 0.000 0.500
5 Rh 0.500 0.500 0.000

**Formation energy**: 1.140 eV/atom

No. 17
# BSbPO2

An optimized crystal structure of BSbPO2 (PBE-GGA, Alexandria via LeMat-Bulk).

Cell: 3.681 3.681 4.130 Å, 90.00 90.00 90.00°
Fractional coordinates of all 5 atoms:
1 B 0.000 0.000 0.000
2 Sb 0.500 0.500 0.500
3 P 0.000 0.000 0.500
4 O 0.000 0.500 0.000
5 O 0.500 0.000 0.000

**ΔE_f (raw)**: 4.87 kJ/mol of atoms

No. 18
# LaScOs2

An optimized crystal structure of LaScOs2 (PBE-GGA, Alexandria via LeMat-Bulk).

Cell: 9.486 9.486 9.486 Å, 150.22 150.22 42.62°
Fractional coordinates of all 8 atoms:
1 La 0.000 0.000 0.000
2 La 0.750 0.250 0.500
3 Sc 0.250 0.750 0.500
4 Sc 0.500 0.500 0.000
5 Os 0.349 0.625 0.224
6 Os 0.375 0.599 0.724
7 Os 0.401 0.125 0.776
8 Os 0.875 0.651 0.276

**Formation energy**: 0.445 eV/atom

No. 19
# P2AuICl

An optimized crystal structure of P2AuICl (PBE-GGA, Alexandria via LeMat-Bulk).

Cell: 4.961 4.961 4.951 Å, 90.00 90.00 90.00°
Fractional coordinates of all 5 atoms:
1 P 0.000 0.500 0.000
2 P 0.500 0.000 0.000
3 Au 0.000 0.000 0.000
4 I 0.500 0.500 0.500
5 Cl 0.000 0.000 0.500

**ΔE_f (raw)**: 71.38 kJ/mol of atoms

No. 20
# PaPdO

An optimized crystal structure of PaPdO (PBE-GGA, Alexandria via LeMat-Bulk).

Cell: 3.870 3.870 4.150 Å, 90.00 90.00 120.00°
Fractional coordinates of all 3 atoms:
1 Pa 0.000 0.000 0.000
2 Pd 0.667 0.333 0.500
3 O 0.333 0.667 0.000

**ΔE_f (raw)**: -169.30 kJ/mol of atoms

No. 21
# Tb2Pm6TmSc

An optimized crystal structure of Tb2Pm6TmSc (PBE-GGA, Alexandria via LeMat-Bulk).

Cell: 8.892 8.892 9.432 Å, 93.59 93.59 117.74°
Fractional coordinates of all 20 atoms:
1 Tb 0.198 0.297 0.453
2 Tb 0.297 0.198 0.953
3 Tb 0.703 0.802 0.047
4 Tb 0.802 0.703 0.547
5 Pm 0.010 0.789 0.886
6 Pm 0.062 0.496 0.695
7 Pm 0.211 0.990 0.614
8 Pm 0.266 0.623 0.052
9 Pm 0.377 0.734 0.448
10 Pm 0.496 0.062 0.195
11 Pm 0.504 0.938 0.805
12 Pm 0.623 0.266 0.552
13 Pm 0.734 0.377 0.948
14 Pm 0.789 0.010 0.386
15 Pm 0.938 0.504 0.305
16 Pm 0.990 0.211 0.114
17 Tm 0.475 0.525 0.750
18 Tm 0.525 0.475 0.250
19 Sc 0.081 0.919 0.250
20 Sc 0.919 0.081 0.750

**Formation energy**: 0.127 eV/atom